The following is a DFT calculation (PBE) of a relaxed structure of AcCeAu.

Results
The value obtained for the total energy is -4.70 eV per atom. The value obtained for the offset from the most stable computed form is 195 meV/atom. As for the space group: No. 156. The calculation puts the calculated formation energy at -0.26 eV/atom.

POSCAR file:
```
AcCeAu
1.0
-3.482 1.124 1.790
-1.342 -4.856 0.439
2.624 2.242 3.696
Au Ac Ce
1 1 1
direct
0.273 0.333 0.667
0.660 0.667 0.333
0.068 0.000 0.000
```

***

The following is a DFT calculation (PBE) of a relaxed structure of AcCe2Au6.

Results
The value obtained for the total energy is -4.63 eV per atom. As for the space group: No. 71. The calculation puts the calculated formation energy at -0.67 eV/atom.

POSCAR file:
```
AcCe2Au6
1.0
-3.316 0.844 1.863
-1.054 -6.728 5.247
2.279 -0.336 8.283
Au Ce Ac
6 2 1
direct
0.000 0.179 0.821
0.000 0.821 0.179
0.822 0.488 0.868
0.822 0.868 0.488
0.178 0.512 0.132
0.178 0.132 0.512
0.359 0.141 0.141
0.641 0.859 0.859
0.500 0.500 0.500
```

***

The following is a DFT calculation (PBE) of a relaxed structure of AcCeGaAu.

Results
The value obtained for the total energy is -4.58 eV per atom. As for the space group: No. 216. The calculation puts the calculated formation energy at -0.50 eV/atom.

POSCAR file:
```
AcCeGaAu
1.0
5.400 0.000 0.000
2.700 4.676 0.000
2.700 1.559 4.409
Au Ce Ac Ga
1 1 1 1
direct
0.750 0.750 0.750
0.500 0.500 0.500
0.000 0.000 0.000
0.250 0.250 0.250
```

***

The following is a DFT calculation (PBE) of a relaxed structure of AcCeGdAu.

Results
The value obtained for the total energy is -6.89 eV per atom. As for the space group: No. 216. The calculation puts the calculated formation energy at -0.04 eV/atom.

POSCAR file:
```
AcCeGdAu
1.0
-3.571 -0.195 4.140
-5.276 -1.060 -0.986
-2.159 -4.789 1.527
Au Ce Ac Gd
1 1 1 1
direct
0.000 0.000 0.000
0.250 0.250 0.250
0.500 0.500 0.500
0.750 0.750 0.750
```

***

The following is a DFT calculation (PBE) of a relaxed structure of AcCe2Ge2Au2.

Results
The value obtained for the total energy is -5.17 eV per atom. As for the space group: No. 166. The calculation puts the calculated formation energy at -0.63 eV/atom.

POSCAR file:
```
AcCe2Ge2Au2
1.0
-3.851 -1.085 2.080
-0.025 -3.207 3.170
0.469 5.198 8.468
Ge Au Ce Ac
2 2 2 1
direct
0.255 0.255 0.236
0.745 0.745 0.764
0.410 0.410 0.769
0.590 0.590 0.231
0.143 0.143 0.572
0.857 0.857 0.428
0.000 0.000 0.000
```

***

The following is a DFT calculation (PBE) of a relaxed structure of Ac2Ce2Ge4Au.

Results
The value obtained for the total energy is -5.06 eV per atom. As for the space group: No. 139. The calculation puts the calculated formation energy at -0.41 eV/atom.

POSCAR file:
```
Ac2Ce2Ge4Au
1.0
-2.122 1.448 -6.351
5.983 -3.325 0.296
-3.991 -4.427 3.376
Ge Au Ac Ce
4 1 2 2
direct
0.000 0.245 0.755
0.510 0.755 0.755
0.490 0.245 0.245
0.000 0.755 0.245
0.000 0.000 0.000
0.500 0.250 0.750
0.500 0.750 0.250
0.000 0.348 0.348
0.000 0.652 0.652
```

***

The following is a DFT calculation (PBE) of a relaxed structure of AcCeGeAu.

Results
The value obtained for the total energy is -5.08 eV per atom. As for the space group: No. 216. The calculation puts the calculated formation energy at -0.60 eV/atom.

POSCAR file:
```
AcCeGeAu
1.0
5.387 0.000 0.000
2.693 4.665 0.000
2.693 1.555 4.398
Au Ge Ac Ce
1 1 1 1
direct
0.000 0.000 0.000
0.500 0.500 0.500
0.750 0.750 0.750
0.250 0.250 0.250
```

***

The following is a DFT calculation (PBE) of a relaxed structure of AcCeInAu.

Results
The value obtained for the total energy is -4.45 eV per atom. As for the space group: No. 216. The calculation puts the calculated formation energy at -0.44 eV/atom.

POSCAR file:
```
AcCeInAu
1.0
-4.933 -2.497 0.341
-0.826 -4.001 3.741
-3.277 0.927 4.368
Ce Au Ac In
1 1 1 1
direct
0.750 0.750 0.750
0.000 0.000 0.000
0.250 0.250 0.250
0.500 0.500 0.500
```

***

The following is a DFT calculation (PBE) of a relaxed structure of AcLaCeAu.

Results
The value obtained for the total energy is -4.58 eV per atom. As for the space group: No. 216. The calculation puts the calculated formation energy at -0.02 eV/atom.

POSCAR file:
```
AcLaCeAu
1.0
5.540 0.000 0.000
2.770 4.798 0.000
2.770 1.599 4.523
Ac Au Ce La
1 1 1 1
direct
0.500 0.500 0.500
0.000 0.000 0.000
0.250 0.250 0.250
0.750 0.750 0.750
```

***

The following is a DFT calculation (PBE) of a relaxed structure of AcCeMg2Au4.

Results
The value obtained for the total energy is -4.00 eV per atom. As for the space group: No. 166. The calculation puts the calculated formation energy at -0.70 eV/atom.

POSCAR file:
```
AcCeMg2Au4
1.0
-0.373 0.681 4.718
-3.942 -1.403 2.314
2.568 -8.912 3.911
Ce Au Mg Ac
1 4 2 1
direct
0.500 0.500 0.500
0.395 0.395 0.816
0.886 0.886 0.343
0.605 0.605 0.184
0.114 0.114 0.657
0.243 0.243 0.271
0.757 0.757 0.729
0.000 0.000 0.000
```

***

The following is a DFT calculation (PBE) of a relaxed structure of AcCeOsAu.

Results
The value obtained for the total energy is -6.34 eV per atom. As for the space group: No. 216. The calculation puts the calculated formation energy at -0.21 eV/atom.

POSCAR file:
```
AcCeOsAu
1.0
5.207 0.000 0.000
2.603 4.509 0.000
2.603 1.503 4.251
Os Au Ac Ce
1 1 1 1
direct
0.500 0.500 0.500
0.000 0.000 0.000
0.250 0.250 0.250
0.750 0.750 0.750
```

***

The following is a DFT calculation (PBE) of a relaxed structure of AcCePbAu.

Results
The value obtained for the total energy is -4.75 eV per atom. As for the space group: No. 216. The calculation puts the calculated formation energy at -0.50 eV/atom.

POSCAR file:
```
AcCePbAu
1.0
-4.469 -3.080 -1.329
-0.217 -2.627 -4.927
0.409 -5.568 -0.218
Au Ce Ac Pb
1 1 1 1
direct
0.000 0.000 0.000
0.750 0.750 0.750
0.250 0.250 0.250
0.500 0.500 0.500
```

***

The following is a DFT calculation (PBE) of a relaxed structure of AcCePdAu.

Results
The value obtained for the total energy is -5.25 eV per atom. As for the space group: No. 216. The calculation puts the calculated formation energy at -0.62 eV/atom.

POSCAR file:
```
AcCePdAu
1.0
-1.869 -0.572 -4.942
1.957 -3.800 -3.158
-2.982 -4.221 -1.241
Ac Ce Pd Au
1 1 1 1
direct
0.750 0.750 0.750
0.250 0.250 0.250
0.500 0.500 0.500
0.000 0.000 0.000
```

***

The following is a DFT calculation (PBE) of a relaxed structure of AcCePmAu.

Results
The value obtained for the total energy is -4.53 eV per atom. As for the space group: No. 216. The calculation puts the calculated formation energy at -0.01 eV/atom.

POSCAR file:
```
AcCePmAu
1.0
-1.871 -4.458 2.594
3.531 -3.596 2.169
0.495 -0.413 5.449
Au Ce Ac Pm
1 1 1 1
direct
0.500 0.500 0.500
0.750 0.750 0.750
0.000 0.000 0.000
0.250 0.250 0.250
```

***

The following is a DFT calculation (PBE) of a relaxed structure of AcCePtAu.

Results
The value obtained for the total energy is -5.63 eV per atom. As for the space group: No. 216. The calculation puts the calculated formation energy at -0.79 eV/atom.

POSCAR file:
```
AcCePtAu
1.0
5.297 0.000 0.000
2.649 4.587 0.000
2.649 1.529 4.325
Pt Ac Ce Au
1 1 1 1
direct
0.750 0.750 0.750
0.500 0.500 0.500
0.000 0.000 0.000
0.250 0.250 0.250
```

***

The following is a DFT calculation (PBE) of a relaxed structure of AcCeRuAu.

Results
The value obtained for the total energy is -5.97 eV per atom. As for the space group: No. 216. The calculation puts the calculated formation energy at -0.32 eV/atom.

POSCAR file:
```
AcCeRuAu
1.0
-3.536 3.367 -1.828
-4.865 -0.055 1.874
-1.678 3.910 3.013
Au Ru Ce Ac
1 1 1 1
direct
0.250 0.250 0.250
0.750 0.750 0.750
0.500 0.500 0.500
0.000 0.000 0.000
```

***

The following is a DFT calculation (PBE) of a relaxed structure of AcCeSbAu.

Results
The value obtained for the total energy is -5.08 eV per atom. As for the space group: No. 216.

POSCAR file:
```
AcCeSbAu
1.0
5.533 0.000 0.000
2.766 4.791 0.000
2.766 1.597 4.517
Ac Sb Au Ce
1 1 1 1
direct
0.750 0.750 0.750
0.500 0.500 0.500
0.000 0.000 0.000
0.250 0.250 0.250
```

***

The following is a DFT calculation (PBE) of a relaxed structure of AcCe2Sn2Au2.

Results
The value obtained for the total energy is -4.98 eV per atom. As for the space group: No. 166. The calculation puts the calculated formation energy at -0.61 eV/atom.

POSCAR file:
```
AcCe2Sn2Au2
1.0
4.792 0.000 0.000
2.396 4.150 0.000
2.396 1.383 9.556
Au Ce Sn Ac
2 2 2 1
direct
0.434 0.434 0.697
0.566 0.566 0.303
0.144 0.144 0.569
0.856 0.856 0.431
0.738 0.738 0.786
0.262 0.262 0.214
0.000 0.000 0.000
```

***

The following is a DFT calculation (PBE) of a relaxed structure of AcCeTlAu.

Results
The value obtained for the total energy is -4.33 eV per atom. As for the space group: No. 216. The calculation puts the calculated formation energy at -0.41 eV/atom.

POSCAR file:
```
AcCeTlAu
1.0
-4.170 -3.626 0.546
0.628 -4.491 3.205
-2.737 -0.379 4.816
Ac Tl Ce Au
1 1 1 1
direct
0.000 0.000 0.000
0.750 0.750 0.750
0.500 0.500 0.500
0.250 0.250 0.250
```

***

The following is a DFT calculation (PBE) of a relaxed structure of AcAuCl2.

Results
The value obtained for the total energy is -3.70 eV per atom. As for the space group: No. 166.

POSCAR file:
```
AcAuCl2
1.0
3.912 0.000 0.000
1.956 3.388 0.000
1.956 1.129 9.677
Ac Cl Au
1 2 1
direct
0.500 0.500 0.500
0.099 0.099 0.702
0.901 0.901 0.298
0.000 0.000 0.000
```

***

The following is a DFT calculation (PBE) of a relaxed structure of Ac4Au2Cl.

Results
The value obtained for the total energy is -4.21 eV per atom. As for the space group: No. 139.

POSCAR file:
```
Ac4Au2Cl
1.0
5.764 0.000 0.000
0.000 5.764 0.000
-2.882 -2.882 7.676
Ac Au Cl
4 2 1
direct
0.204 0.204 0.407
0.796 0.796 0.593
0.000 0.500 0.000
0.500 0.000 0.000
0.602 0.602 0.203
0.398 0.398 0.797
0.000 0.000 0.000
```

***

The following is a DFT calculation (PBE) of a relaxed structure of AcAu2Cl8.

Results
The value obtained for the total energy is -3.32 eV per atom. As for the space group: No. 97.

POSCAR file:
```
AcAu2Cl8
1.0
7.120 0.000 0.000
0.000 7.120 0.000
-3.560 -3.560 6.259
Cl Au Ac
8 2 1
direct
0.713 0.213 0.766
0.553 0.713 0.766
0.946 0.787 0.234
0.787 0.287 0.234
0.054 0.553 0.766
0.447 0.946 0.234
0.287 0.447 0.234
0.213 0.054 0.766
0.250 0.750 0.500
0.750 0.250 0.500
0.500 0.500 0.000
```

***

The following is a DFT calculation (PBE) of a relaxed structure of AcAu2Cl6.

Results
The value obtained for the total energy is -3.52 eV per atom. As for the space group: No. 15.

POSCAR file:
```
AcAu2Cl6
1.0
7.358 -0.122 -0.118
1.990 9.419 0.305
1.990 0.610 9.404
Cl Au Ac
12 4 2
direct
0.822 0.934 0.383
0.635 0.968 0.826
0.178 0.066 0.617
0.041 0.557 0.688
0.865 0.174 0.032
0.678 0.617 0.066
0.135 0.826 0.968
0.365 0.032 0.174
0.322 0.383 0.934
0.959 0.443 0.312
0.459 0.312 0.443
0.541 0.688 0.557
0.113 0.272 0.459
0.887 0.728 0.541
0.387 0.541 0.728
0.613 0.459 0.272
0.750 0.897 0.103
0.250 0.103 0.897
```

***

The following is a DFT calculation (PBE) of a relaxed structure of AcAuCl6.

Results
The value obtained for the total energy is -3.60 eV per atom. As for the space group: No. 2.

POSCAR file:
```
AcAuCl6
1.0
4.744 0.246 -1.117
2.441 7.214 -1.597
1.396 1.432 6.372
Cl Ac Au
6 1 1
direct
0.751 0.087 0.686
0.249 0.913 0.314
0.408 0.770 0.857
0.025 0.457 0.745
0.975 0.543 0.255
0.592 0.230 0.143
0.500 0.500 0.500
0.000 0.000 0.000
```

***

The following is a DFT calculation (PBE) of a relaxed structure of Ac4CoAuCl2.

Results
The value obtained for the total energy is -4.81 eV per atom. As for the space group: No. 10.

POSCAR file:
```
Ac4CoAuCl2
1.0
-3.741 0.475 2.179
0.311 -7.435 2.153
3.912 4.595 5.714
Ac Au Cl Co
4 1 2 1
direct
0.000 0.723 0.203
0.500 0.735 0.795
0.500 0.265 0.205
0.000 0.277 0.797
0.000 0.000 0.000
0.000 0.500 0.500
0.500 0.000 0.500
0.500 0.500 0.000
```

***

The following is a DFT calculation (PBE) of a relaxed structure of Ac4GeAuCl2.

Results
The value obtained for the total energy is -4.68 eV per atom. As for the space group: No. 10.

POSCAR file:
```
Ac4GeAuCl2
1.0
4.543 0.000 0.000
0.000 7.468 0.001
0.000 2.785 7.660
Ge Cl Ac Au
1 2 4 1
direct
0.000 0.500 0.500
0.000 0.000 0.000
0.500 0.000 0.500
0.000 0.735 0.756
0.500 0.743 0.258
0.500 0.257 0.742
0.000 0.265 0.244
0.500 0.500 0.000
```

***

The following is a DFT calculation (PBE) of a relaxed structure of AcHgAuCl.

Results
The value obtained for the total energy is -3.34 eV per atom. As for the space group: No. 216.

POSCAR file:
```
AcHgAuCl
1.0
-2.447 4.074 -2.284
-3.640 -0.858 -3.716
-5.087 0.932 1.027
Ac Cl Au Hg
1 1 1 1
direct
0.500 0.500 0.500
0.750 0.750 0.750
0.250 0.250 0.250
0.000 0.000 0.000
```